Below is an optimized crystal structure of Y2TaPbBr, with properties calculated at the GGA-PBE level.

```
Y2TaPbBr
1.0
5.380 0.000 0.000
0.000 5.380 0.000
0.000 0.000 4.760
Y Ta Pb Br
2 1 1 1
direct
0.000 0.500 0.000
0.500 0.000 0.000
0.000 0.000 0.500
0.500 0.500 0.500
0.000 0.000 0.000
```

Calculated values
Raw formation energy: 0.327 eV per atom



Below is an optimized crystal structure of Ba2CuOs, with properties calculated at the GGA-PBE level.

```
Ba2CuOs
1.0
0.000 3.714 3.714
3.714 0.000 3.714
3.714 3.714 0.000
Ba Cu Os
2 1 1
direct
0.000 0.000 0.000
0.250 0.250 0.250
0.750 0.750 0.750
0.500 0.500 0.500
```

Calculated values
ΔE_f: 0.8894 eV/atom



Below is an optimized crystal structure of KCr2In, with properties calculated at the GGA-PBE level.

```
KCr2In
1.0
-2.273 2.273 4.816
2.273 -2.273 4.816
2.273 2.273 -4.816
K Cr In
1 2 1
direct
0.000 0.000 0.000
0.250 0.750 0.500
0.500 0.500 0.000
0.750 0.250 0.500
```

Calculated values
ΔE_f: 1.0112 eV/atom



Below is an optimized crystal structure of Sm5Bi2Au, with properties calculated at the GGA-PBE level.

```
Sm5Bi2Au
1.0
3.030 -6.205 0.000
3.030 6.205 0.000
0.000 0.000 14.350
Sm Bi Au
10 4 2
direct
0.063 0.937 0.608
0.063 0.937 0.892
0.365 0.635 0.250
0.380 0.620 0.569
0.380 0.620 0.931
0.620 0.380 0.069
0.620 0.380 0.431
0.635 0.365 0.750
0.937 0.063 0.108
0.937 0.063 0.392
0.197 0.803 0.093
0.197 0.803 0.407
0.803 0.197 0.593
0.803 0.197 0.907
0.238 0.762 0.750
0.762 0.238 0.250
```

Calculated values
ΔE_f: -0.3601 eV/atom



Below is an optimized crystal structure of Ho6SbTe3Se2, with properties calculated at the GGA-PBE level.

```
Ho6SbTe3Se2
1.0
3.659 -6.338 0.000
3.659 6.338 0.000
-2.446 0.000 7.047
Ho Sb Te Se
6 1 3 2
direct
0.078 0.424 0.777
0.225 0.225 0.219
0.424 0.078 0.777
0.576 0.922 0.223
0.775 0.775 0.781
0.922 0.576 0.223
0.500 0.500 0.000
0.000 0.000 0.500
0.338 0.662 0.500
0.662 0.338 0.500
0.168 0.832 0.000
0.832 0.168 0.000
```

Calculated values
Raw formation energy: -1.405 eV per atom



Below is an optimized crystal structure of SrSb2IrO8, with properties calculated at the GGA-PBE level.

```
SrSb2IrO8
1.0
4.882 0.000 0.000
0.000 6.534 0.000
-0.222 0.000 4.924
Sr Sb Ir O
1 2 1 8
direct
0.000 0.000 0.000
0.500 0.254 0.500
0.500 0.746 0.500
0.000 0.500 0.000
0.243 0.286 0.179
0.243 0.714 0.179
0.268 0.500 0.682
0.299 0.000 0.636
0.701 0.000 0.364
0.732 0.500 0.318
0.757 0.286 0.821
0.757 0.714 0.821
```

Calculated values
Raw formation energy: -1.359 eV per atom



Below is an optimized crystal structure of CaBTe2N, with properties calculated at the GGA-PBE level.

```
CaBTe2N
1.0
6.282 0.000 0.000
0.000 6.282 0.000
0.000 0.000 2.801
Ca B Te N
1 1 2 1
direct
0.000 0.000 0.000
0.500 0.500 0.500
0.000 0.500 0.500
0.500 0.000 0.500
0.500 0.500 0.000
```

Calculated values
Raw formation energy: -0.177 eV per atom



Below is an optimized crystal structure of Hf3ScV, with properties calculated at the GGA-PBE level.

```
Hf3ScV
1.0
4.905 0.000 0.000
0.000 4.905 0.000
0.000 0.000 4.905
Hf Sc V
3 1 1
direct
0.000 0.000 0.500
0.000 0.500 0.000
0.500 0.000 0.000
0.500 0.500 0.500
0.000 0.000 0.000
```

Calculated values
ΔE_f: 0.5985 eV/atom



Below is an optimized crystal structure of Sc5S4N, with properties calculated at the GGA-PBE level.

```
Sc5S4N
1.0
-1.797 1.797 12.975
1.797 -1.797 12.975
1.797 1.797 -12.975
Sc S N
5 4 1
direct
0.000 0.000 0.000
0.204 0.204 0.000
0.419 0.419 0.000
0.581 0.581 0.000
0.796 0.796 0.000
0.099 0.099 0.000
0.305 0.305 0.000
0.695 0.695 0.000
0.901 0.901 0.000
0.500 0.500 0.000
```

Calculated values
Raw formation energy: -1.817 eV per atom



Below is an optimized crystal structure of Cr2TeIr, with properties calculated at the GGA-PBE level.

```
Cr2TeIr
1.0
-1.957 1.957 3.905
1.957 -1.957 3.905
1.957 1.957 -3.905
Cr Te Ir
2 1 1
direct
0.000 0.000 0.000
0.750 0.250 0.500
0.500 0.500 0.000
0.250 0.750 0.500
```

Calculated values
Raw formation energy: 0.362 eV per atom



Below is an optimized crystal structure of KTlGa2Br8, with properties calculated at the GGA-PBE level.

```
KTlGa2Br8
1.0
3.593 2.075 9.986
-3.593 2.075 9.986
0.000 -4.149 9.986
K Tl Ga Br
1 1 2 8
direct
0.000 0.000 0.000
0.500 0.500 0.500
0.241 0.241 0.241
0.759 0.759 0.759
0.071 0.457 0.670
0.163 0.163 0.163
0.330 0.929 0.543
0.457 0.670 0.071
0.543 0.330 0.929
0.670 0.071 0.457
0.837 0.837 0.837
0.929 0.543 0.330
```

Calculated values
Raw formation energy: -1.025 eV per atom



Below is an optimized crystal structure of Hf5TcRu4, with properties calculated at the GGA-PBE level.

```
Hf5TcRu4
1.0
3.244 0.000 0.000
0.000 3.244 0.000
0.000 0.000 16.268
Hf Tc Ru
5 1 4
direct
0.000 0.000 0.000
0.000 0.000 0.201
0.000 0.000 0.402
0.000 0.000 0.598
0.000 0.000 0.799
0.500 0.500 0.500
0.500 0.500 0.099
0.500 0.500 0.297
0.500 0.500 0.703
0.500 0.500 0.901
```

Calculated values
ΔE_f: -0.7726 eV/atom



Below is an optimized crystal structure of K2MgIr3O12, with properties calculated at the GGA-PBE level.

```
K2MgIr3O12
1.0
3.618 2.089 6.052
-3.618 2.089 6.052
0.000 -4.178 6.052
K Mg Ir O
2 1 3 12
direct
0.105 0.105 0.105
0.895 0.895 0.895
0.500 0.500 0.500
0.000 0.500 0.500
0.500 0.000 0.500
0.500 0.500 0.000
0.175 0.175 0.584
0.175 0.584 0.175
0.177 0.558 0.558
0.416 0.825 0.825
0.442 0.442 0.823
0.442 0.823 0.442
0.558 0.177 0.558
0.558 0.558 0.177
0.584 0.175 0.175
0.823 0.442 0.442
0.825 0.416 0.825
0.825 0.825 0.416
```

Calculated values
Raw formation energy: -0.986 eV per atom



Below is an optimized crystal structure of Pr2Y2Se2S3, with properties calculated at the GGA-PBE level.

```
Pr2Y2Se2S3
1.0
-2.709 2.709 7.625
2.709 -2.709 7.625
2.709 2.709 -7.625
Pr Y Se S
2 2 2 3
direct
0.200 0.200 0.000
0.800 0.800 0.000
0.000 0.500 0.500
0.500 0.000 0.500
0.399 0.399 0.000
0.601 0.601 0.000
0.000 0.000 0.000
0.250 0.750 0.500
0.750 0.250 0.500
```

Calculated values
Raw formation energy: -1.685 eV per atom



Below is an optimized crystal structure of VNi6Ir2, with properties calculated at the GGA-PBE level.

```
VNi6Ir2
1.0
5.455 -1.796 0.000
5.455 1.796 0.000
-1.842 0.000 5.494
V Ni Ir
1 6 2
direct
0.000 0.000 0.000
0.115 0.115 0.677
0.224 0.224 0.334
0.331 0.331 0.999
0.669 0.669 0.001
0.776 0.776 0.666
0.885 0.885 0.323
0.445 0.445 0.673
0.555 0.555 0.327
```

Calculated values
ΔE_f: -0.1365 eV/atom